Entry 1:
KRhO3 PBE-GGA relaxed; crystal system = orthorhombic; space group = Pmmn, No. 59; V = 130.3 Å³ per cell; total energy = -54.59 eV for the cell shown
1.0
3.2203 0.0000 0.0000
0.0000 5.2097 0.0000
0.0000 0.0000 7.7666
K Rh O
2 2 6
direct
0.2500 0.2500 0.1293 K
0.7500 0.7500 0.8707 K
0.2500 0.7500 0.3989 Rh
0.7500 0.2500 0.6011 Rh
0.2500 0.5008 0.6210 O
0.2500 0.7500 0.1579 O
0.2500 0.9992 0.6210 O
0.7500 0.0008 0.3790 O
0.7500 0.2500 0.8421 O
0.7500 0.4992 0.3790 O

***

Entry 2:
K3RhO6 PBE-GGA relaxed; crystal system = hexagonal; space group = P6_322, No. 182; V = 376.1 Å³ per cell; total energy = -94.71 eV for the cell shown
1.0
6.5017 0.0000 0.0000
-3.2508 5.6306 0.0000
0.0000 0.0000 10.2724
K Rh O
6 2 12
direct
0.0000 0.0000 0.0000 K
0.0000 0.0000 0.5000 K
0.3333 0.6667 0.0840 K
0.3333 0.6667 0.4160 K
0.6667 0.3333 0.5840 K
0.6667 0.3333 0.9160 K
0.3333 0.6667 0.7500 Rh
0.6667 0.3333 0.2500 Rh
0.1065 0.4046 0.6454 O
0.1065 0.7019 0.8546 O
0.2981 0.4046 0.8546 O
0.2981 0.8935 0.6454 O
0.4046 0.1065 0.3546 O
0.4046 0.2981 0.1454 O
0.5954 0.7019 0.6454 O
0.5954 0.8935 0.8546 O
0.7019 0.1065 0.1454 O
0.7019 0.5954 0.3546 O
0.8935 0.2981 0.3546 O
0.8935 0.5954 0.1454 O

***

Entry 3:
KRhO3 PBE-GGA relaxed; crystal system = orthorhombic; space group = Pmmm, No. 47; V = 68.0 Å³ per cell; total energy = -27.79 eV for the cell shown
1.0
3.0841 0.0000 0.0000
0.0000 3.7779 0.0000
0.0000 0.0000 5.8374
K Rh O
1 1 3
direct
0.0000 0.0000 0.0000 K
0.0000 0.5000 0.5000 Rh
0.0000 0.0000 0.5000 O
0.5000 0.5000 0.2747 O
0.5000 0.5000 0.7253 O

***

Entry 4:
K3RhO8 PBE-GGA relaxed; crystal system = tetragonal; space group = I-42m, No. 121; V = 193.5 Å³ per cell; total energy = -58.35 eV for the cell shown
1.0
-3.4850 3.4850 3.9828
3.4850 -3.4850 3.9828
3.4850 3.4850 -3.9828
K Rh O
3 1 8
direct
0.0000 0.0000 0.0000 K
0.2500 0.7500 0.5000 K
0.7500 0.2500 0.5000 K
0.5000 0.5000 0.0000 Rh
0.1517 0.4457 0.0000 O
0.2562 0.6695 0.0000 O
0.3305 0.3305 0.5867 O
0.4457 0.1517 0.0000 O
0.5543 0.5543 0.7061 O
0.6695 0.2562 0.0000 O
0.7438 0.7438 0.4133 O
0.8483 0.8483 0.2939 O

***

Entry 5:
KRh7O12 PBE-GGA relaxed; crystal system = cubic; space group = Im-3, No. 204; V = 224.4 Å³ per cell; total energy = -126.10 eV for the cell shown
1.0
-3.8281 3.8281 3.8281
3.8281 -3.8281 3.8281
3.8281 3.8281 -3.8281
K Rh O
1 7 12
direct
0.0000 0.0000 0.0000 K
0.0000 0.0000 0.5000 Rh
0.0000 0.5000 0.0000 Rh
0.0000 0.5000 0.5000 Rh
0.5000 0.0000 0.0000 Rh
0.5000 0.0000 0.5000 Rh
0.5000 0.5000 0.0000 Rh
0.5000 0.5000 0.5000 Rh
0.1373 0.8179 0.3194 O
0.1821 0.3194 0.5015 O
0.1821 0.6806 0.8627 O
0.3194 0.1373 0.8179 O
0.3194 0.5015 0.1821 O
0.4985 0.8179 0.6806 O
0.5015 0.1821 0.3194 O
0.6806 0.4985 0.8179 O
0.6806 0.8627 0.1821 O
0.8179 0.3194 0.1373 O
0.8179 0.6806 0.4985 O
0.8627 0.1821 0.6806 O

***

Entry 6:
K2Rh3O6 PBE-GGA relaxed; crystal system = monoclinic; space group = C2/m, No. 12; V = 155.7 Å³ per cell; total energy = -65.35 eV for the cell shown
1.0
2.7426 -4.7488 0.0000
2.7426 4.7488 0.0000
-1.8212 0.0000 5.9762
K Rh O
2 3 6
direct
0.1669 0.8331 0.0000 K
0.8331 0.1669 0.0000 K
0.0000 0.0000 0.5000 Rh
0.3340 0.6660 0.5000 Rh
0.6660 0.3340 0.5000 Rh
0.0535 0.3871 0.6618 O
0.2787 0.2787 0.3362 O
0.3871 0.0535 0.6618 O
0.6129 0.9465 0.3382 O
0.7213 0.7213 0.6638 O
0.9465 0.6129 0.3382 O

***

Entry 7:
KRh2O PBE-GGA relaxed; crystal system = tetragonal; space group = I4_1/amd, No. 141; V = 178.2 Å³ per cell; total energy = -41.79 eV for the cell shown
1.0
-3.1436 3.1436 4.5083
3.1436 -3.1436 4.5083
3.1436 3.1436 -4.5083
K Rh O
2 4 2
direct
0.3750 0.6250 0.7500 K
0.6250 0.3750 0.2500 K
0.0000 0.0000 0.0000 Rh
0.0000 0.0000 0.5000 Rh
0.0000 0.5000 0.0000 Rh
0.5000 0.0000 0.5000 Rh
0.1250 0.8750 0.2500 O
0.8750 0.1250 0.7500 O

***

Entry 8:
KRh2O6 PBE-GGA relaxed; crystal system = trigonal; space group = P-3, No. 147; V = 119.5 Å³ per cell; total energy = -48.23 eV for the cell shown
1.0
7.0334 0.0000 0.0000
-3.5167 6.0911 0.0000
0.0000 0.0000 2.7888
K Rh O
1 2 6
direct
0.0000 0.0000 0.0000 K
0.3333 0.6667 0.7977 Rh
0.6667 0.3333 0.2023 Rh
0.1783 0.4368 0.2970 O
0.2585 0.8217 0.2970 O
0.4368 0.2585 0.7030 O
0.5632 0.7415 0.2970 O
0.7415 0.1783 0.7030 O
0.8217 0.5632 0.7030 O

***

- The highest total energy belongs to which entry?
  number 3